## i
A relaxed SrTlCd6 crystal. Source: Alexandria, functional PBE.

Results
**D(E_F)**: 3.01 states/eV per cell

Structure (POSCAR):
```
SrTlCd6
1.0
5.053 0.000 0.000
0.000 3.917 5.305
0.000 -3.917 5.305
Sr Tl Cd
1 1 6
Cartesian
0.000 0.000 0.000 Sr
2.527 0.000 2.473 Tl
0.000 0.000 4.455 Cd
0.000 -1.493 7.531 Cd
0.000 1.493 7.531 Cd
2.527 -1.559 5.445 Cd
2.527 1.559 5.445 Cd
2.527 0.000 8.417 Cd
```

=====

## ii
A relaxed SrTlCd6 crystal. Source: Alexandria, functional PBE.

Results
**D(E_F)**: 3.76 states/eV per cell

Structure (POSCAR):
```
SrTlCd6
1.0
6.075 0.000 0.000
0.000 6.075 0.000
0.000 0.000 6.075
Sr Tl Cd
1 1 6
Cartesian
0.000 0.000 0.000 Sr
3.038 3.038 3.038 Tl
0.000 1.537 3.038 Cd
0.000 4.538 3.038 Cd
1.537 3.038 0.000 Cd
3.038 0.000 1.537 Cd
3.038 0.000 4.538 Cd
4.538 3.038 0.000 Cd
```

=====

Computed stability ranking, most favorable first: i, ii

=====

## i
A relaxed Sr2TmCd crystal. Source: Alexandria, functional PBE.

Results
**D(E_F)**: 5.17 states/eV per cell

Structure (POSCAR):
```
Sr2TmCd
1.0
1.897 1.095 12.361
-1.897 1.095 12.361
0.000 -2.191 12.361
Sr Tm Cd
2 1 1
Cartesian
0.000 0.000 3.528 Sr
0.000 0.000 33.554 Sr
0.000 0.000 0.000 Tm
0.000 0.000 18.541 Cd
```

=====

## ii
A relaxed Sr2TmCd crystal. Source: Alexandria, functional PBE.

Results
**D(E_F)**: 3.74 states/eV per cell

Structure (POSCAR):
```
Sr2TmCd
1.0
4.239 0.000 0.000
0.000 4.239 0.000
0.000 0.000 8.093
Sr Tm Cd
2 1 1
Cartesian
0.000 0.000 1.884 Sr
0.000 0.000 6.210 Sr
2.119 2.119 4.047 Tm
2.119 2.119 0.000 Cd
```

=====

Computed stability ranking, most favorable first: ii, i

=====

## i
A relaxed SrV3Cd crystal. Source: Alexandria, functional PBE.

Results
**D(E_F)**: 6.42 states/eV per cell

Structure (POSCAR):
```
SrV3Cd
1.0
4.605 0.000 0.000
0.000 4.605 0.000
0.000 0.000 4.605
Sr V Cd
1 3 1
Cartesian
0.000 0.000 0.000 Sr
0.000 0.000 2.303 V
0.000 2.303 0.000 V
2.303 0.000 0.000 V
2.303 2.303 2.303 Cd
```

=====

## ii
A relaxed SrV3Cd crystal. Source: Alexandria, functional PBE.

Results
**D(E_F)**: 10.52 states/eV per cell

Structure (POSCAR):
```
SrV3Cd
1.0
5.208 0.000 0.000
0.000 5.208 0.000
0.000 0.000 5.208
Sr V Cd
1 3 1
Cartesian
0.000 0.000 0.000 Sr
0.000 2.604 2.604 V
2.604 0.000 2.604 V
2.604 2.604 0.000 V
2.604 2.604 2.604 Cd
```

=====

Computed stability ranking, most favorable first: ii, i

=====

## i
A relaxed SrY3Cd crystal. Source: Alexandria, functional PBE.

Results
**D(E_F)**: 4.05 states/eV per cell

Structure (POSCAR):
```
SrY3Cd
1.0
5.689 0.000 0.000
0.000 5.689 0.000
0.000 0.000 5.689
Sr Y Cd
1 3 1
Cartesian
0.000 0.000 0.000 Sr
0.000 0.000 2.845 Y
0.000 2.845 0.000 Y
2.845 0.000 0.000 Y
2.845 2.845 2.845 Cd
```

=====

## ii
A relaxed SrY3Cd crystal. Source: Alexandria, functional PBE.

Results
**D(E_F)**: 5.12 states/eV per cell

Structure (POSCAR):
```
SrY3Cd
1.0
5.799 0.000 0.000
0.000 5.799 0.000
0.000 0.000 5.799
Sr Y Cd
1 3 1
Cartesian
0.000 0.000 0.000 Sr
0.000 2.899 2.899 Y
2.899 0.000 2.899 Y
2.899 2.899 0.000 Y
2.899 2.899 2.899 Cd
```

=====

Computed stability ranking, most favorable first: ii, i

=====

## i
A relaxed Sr2Y2Cd crystal. Source: Alexandria, functional PBE.

Results
**D(E_F)**: 13.03 states/eV per cell

Structure (POSCAR):
```
Sr2Y2Cd
1.0
8.066 0.000 0.000
0.000 8.066 0.000
0.000 0.000 6.034
Sr Y Cd
4 4 2
Cartesian
1.355 2.678 0.000 Sr
2.678 6.711 0.000 Sr
5.388 1.355 0.000 Sr
6.711 5.388 0.000 Sr
1.187 5.220 3.017 Y
2.846 1.187 3.017 Y
5.220 6.879 3.017 Y
6.879 2.846 3.017 Y
0.000 0.000 3.017 Cd
4.033 4.033 3.017 Cd
```

=====

## ii
A relaxed Sr2Y2Cd crystal. Source: Alexandria, functional PBE.

Results
**D(E_F)**: 3.23 states/eV per cell

Structure (POSCAR):
```
Sr2Y2Cd
1.0
-2.260 2.260 9.253
2.260 -2.260 9.253
2.260 2.260 -9.253
Sr Y Cd
2 2 1
Cartesian
2.260 0.000 4.626 Sr
0.000 2.260 4.626 Sr
0.000 0.000 1.543 Y
0.000 0.000 16.962 Y
0.000 0.000 9.253 Cd
```

=====

Computed stability ranking, most favorable first: i, ii

=====

## i
A relaxed SrYCd crystal. Source: Alexandria, functional PBE.

Results
**D(E_F)**: 3.25 states/eV per cell

Structure (POSCAR):
```
SrYCd
1.0
-1.938 1.938 6.798
1.938 -1.938 6.798
1.938 1.938 -6.798
Sr Y Cd
1 1 1
Cartesian
0.000 0.000 0.000 Sr
0.000 0.000 3.839 Y
0.000 0.000 9.033 Cd
```

=====

## ii
A relaxed SrYCd crystal. Source: Alexandria, functional PBE.

Results
**D(E_F)**: 2.91 states/eV per cell

Structure (POSCAR):
```
SrYCd
1.0
5.453 0.000 0.000
-2.726 4.722 0.000
0.000 0.000 4.027
Sr Y Cd
1 1 1
Cartesian
0.000 0.000 0.000 Sr
2.726 1.574 1.945 Y
0.000 3.148 2.276 Cd
```

=====

Computed stability ranking, most favorable first: i, ii